No. 1
# LaRuS2N meta-GGA SCAN PBEsol geometry
# Energy relative to the elements, uncorrected ... -0.990 eV per atom
# Magnetization ... 0.00 μB per cell
data_LaRuS2N
_chemical_formula_sum 'La1 Ru1 S2 N1'
_space_group_name_H-M_alt 'P 4/m m m'
_space_group_IT_number 123
_space_group_name_Hall '-P 4 2'
_cell_length_a 4.825
_cell_length_b 4.825
_cell_length_c 3.701
_cell_angle_alpha 90.00
_cell_angle_beta 90.00
_cell_angle_gamma 90.00
loop_
_atom_site_label
_atom_site_type_symbol
_atom_site_fract_x
_atom_site_fract_y
_atom_site_fract_z
La1 La 0.000 0.000 0.000
Ru1 Ru 0.500 0.500 0.500
S1 S 0.000 0.500 0.500
N1 N 0.500 0.500 0.000

No. 2
# LaSb2RuN meta-GGA SCAN PBEsol geometry
# Energy relative to the elements, uncorrected ... 1.306 eV per atom
# Magnetization ... 2.60 μB per cell
data_LaSb2RuN
_chemical_formula_sum 'La1 Sb2 Ru1 N1'
_space_group_name_H-M_alt 'P 4/m m m'
_space_group_IT_number 123
_space_group_name_Hall '-P 4 2'
_cell_length_a 5.957
_cell_length_b 5.957
_cell_length_c 3.909
_cell_angle_alpha 90.00
_cell_angle_beta 90.00
_cell_angle_gamma 90.00
loop_
_atom_site_label
_atom_site_type_symbol
_atom_site_fract_x
_atom_site_fract_y
_atom_site_fract_z
La1 La 0.000 0.000 0.000
Sb1 Sb 0.000 0.500 0.000
Ru1 Ru 0.500 0.500 0.500
N1 N 0.000 0.000 0.500

No. 3
# La4S3N2 meta-GGA SCAN PBEsol geometry
# Energy relative to the elements, uncorrected ... -2.236 eV per atom
# Magnetization ... 0.00 μB per cell
data_La4S3N2
_chemical_formula_sum 'La8 S6 N4'
_space_group_name_H-M_alt 'P n n m'
_space_group_IT_number 58
_cell_length_a 6.464
_cell_length_b 15.528
_cell_length_c 4.064
_cell_angle_alpha 90.00
_cell_angle_beta 90.00
_cell_angle_gamma 90.00
loop_
_space_group_symop_operation_xyz
'x,y,z'
'-x,-y,-z'
'-x,-y,z'
'x,y,-z'
'x+1/2,-y+1/2,-z+1/2'
'-x+1/2,y+1/2,z+1/2'
'-x+1/2,y+1/2,-z+1/2'
'x+1/2,-y+1/2,z+1/2'
loop_
_atom_site_label
_atom_site_type_symbol
_atom_site_fract_x
_atom_site_fract_y
_atom_site_fract_z
La1 La 0.224 0.066 0.000
La2 La 0.236 0.843 0.500
S1 S 0.000 0.500 0.000
S2 S 0.223 0.200 0.500
N1 N 0.132 0.916 0.000

No. 4
# La3S3N meta-GGA SCAN PBEsol geometry
# Energy relative to the elements, uncorrected ... -2.356 eV per atom
# Magnetization ... 0.00 μB per cell
data_La3S3N
_chemical_formula_sum 'La12 S12 N4'
_space_group_name_H-M_alt 'P n m a'
_space_group_IT_number 62
_cell_length_a 11.930
_cell_length_b 4.148
_cell_length_c 13.004
_cell_angle_alpha 90.00
_cell_angle_beta 90.00
_cell_angle_gamma 90.00
loop_
_space_group_symop_operation_xyz
'x,y,z'
'-x,-y,-z'
'-x+1/2,-y,z+1/2'
'x+1/2,y,-z+1/2'
'x+1/2,-y+1/2,-z+1/2'
'-x+1/2,y+1/2,z+1/2'
'-x,y+1/2,-z'
'x,-y+1/2,z'
loop_
_atom_site_label
_atom_site_type_symbol
_atom_site_fract_x
_atom_site_fract_y
_atom_site_fract_z
La1 La 0.031 0.250 0.154
La2 La 0.100 0.250 0.623
La3 La 0.234 0.250 0.872
S1 S 0.068 0.250 0.392
S2 S 0.149 0.750 0.006
S3 S 0.235 0.750 0.709
N1 N 0.057 0.250 0.799

No. 5
# LaSnSN2 meta-GGA SCAN PBEsol geometry
# Energy relative to the elements, uncorrected ... -0.258 eV per atom
# Magnetization ... 0.01 μB per cell
data_LaSnSN2
_chemical_formula_sum 'La1 Sn1 S1 N2'
_space_group_name_H-M_alt 'P 4/m m m'
_space_group_IT_number 123
_space_group_name_Hall '-P 4 2'
_cell_length_a 4.137
_cell_length_b 4.137
_cell_length_c 4.997
_cell_angle_alpha 90.00
_cell_angle_beta 90.00
_cell_angle_gamma 90.00
loop_
_atom_site_label
_atom_site_type_symbol
_atom_site_fract_x
_atom_site_fract_y
_atom_site_fract_z
La1 La 0.000 0.000 0.000
Sn1 Sn 0.500 0.500 0.500
S1 S 0.500 0.500 0.000
N1 N 0.000 0.500 0.500

No. 6
# La3SbN meta-GGA SCAN PBEsol geometry
# Energy relative to the elements, uncorrected ... -1.224 eV per atom
# Magnetization ... 0.00 μB per cell
data_La3SbN
_chemical_formula_sum 'La6 Sb2 N2'
_space_group_name_H-M_alt 'P 63/m m c'
_space_group_IT_number 194
_space_group_name_Hall '-P 6c 2c'
_cell_length_a 7.0080
_cell_length_b 7.0080
_cell_length_c 5.8483
_cell_angle_alpha 90.00
_cell_angle_beta 90.00
_cell_angle_gamma 120.00
loop_
_atom_site_label
_atom_site_type_symbol
_atom_site_fract_x
_atom_site_fract_y
_atom_site_fract_z
La1 La 0.1656 0.3312 0.2500
Sb1 Sb 0.3333 0.6667 0.7500
N1 N 0.0000 0.0000 0.0000

No. 7
# LaSbSeN2 meta-GGA SCAN PBEsol geometry
# Energy relative to the elements, uncorrected ... -0.037 eV per atom
# Magnetization ... 0.00 μB per cell
data_LaSbSeN2
_chemical_formula_sum 'La1 Sb1 Se1 N2'
_space_group_name_H-M_alt 'P 4/m m m'
_space_group_IT_number 123
_space_group_name_Hall '-P 4 2'
_cell_length_a 4.189
_cell_length_b 4.189
_cell_length_c 5.144
_cell_angle_alpha 90.00
_cell_angle_beta 90.00
_cell_angle_gamma 90.00
loop_
_atom_site_label
_atom_site_type_symbol
_atom_site_fract_x
_atom_site_fract_y
_atom_site_fract_z
La1 La 0.000 0.000 0.000
Sb1 Sb 0.500 0.500 0.500
Se1 Se 0.500 0.500 0.000
N1 N 0.000 0.500 0.500

No. 8
# LaTc2SbN meta-GGA SCAN PBEsol geometry
# Energy relative to the elements, uncorrected ... 1.244 eV per atom
# Magnetization ... 4.72 μB per cell
data_LaTc2SbN
_chemical_formula_sum 'La1 Tc2 Sb1 N1'
_space_group_name_H-M_alt 'P 4/m m m'
_space_group_IT_number 123
_space_group_name_Hall '-P 4 2'
_cell_length_a 4.968
_cell_length_b 4.968
_cell_length_c 4.187
_cell_angle_alpha 90.00
_cell_angle_beta 90.00
_cell_angle_gamma 90.00
loop_
_atom_site_label
_atom_site_type_symbol
_atom_site_fract_x
_atom_site_fract_y
_atom_site_fract_z
La1 La 0.000 0.000 0.000
Tc1 Tc 0.000 0.500 0.500
Sb1 Sb 0.500 0.500 0.500
N1 N 0.500 0.500 0.000